Record 1
{"formula": "LaMo3", "functional": "GGA-PBE", "state": "relaxed", "de_polymorph_ev_per_atom": 0.084, "ef_ev_per_atom": 0.4737, "volume_a3_per_cell": 82, "dos_ef_per_ev_cell": 4.3, "space_group": "P2/m, No. 10", "lattice_angstrom": [[3.025, 0.000, 0.000], [0.000, 4.267, 0.000], [-1.152, 0.000, 6.341]], "species": ["La", "Mo", "Mo", "Mo"], "fractional_positions": [[0.000, 0.000, 0.000], [0.236, 0.500, 0.678], [0.500, 0.000, 0.500], [0.764, 0.500, 0.322]]}

=====

Record 2
{"formula": "La2Mo", "functional": "GGA-PBE", "state": "relaxed", "de_polymorph_ev_per_atom": 0.186, "ef_ev_per_atom": 0.4134, "volume_a3_per_cell": 359, "dos_ef_per_ev_cell": 18.5, "space_group": "I4_1/amd, No. 141", "lattice_angstrom": [[3.497, 0.000, 0.000], [0.000, 3.497, 0.000], [0.000, 0.000, 29.333]], "species": ["La", "La", "La", "La", "La", "La", "La", "La", "Mo", "Mo", "Mo", "Mo"], "fractional_positions": [[0.000, 0.250, 0.312], [0.000, 0.250, 0.438], [0.000, 0.750, 0.562], [0.000, 0.750, 0.688], [0.500, 0.250, 0.062], [0.500, 0.250, 0.188], [0.500, 0.750, 0.812], [0.500, 0.750, 0.938], [0.000, 0.250, 0.875], [0.000, 0.750, 0.125], [0.500, 0.250, 0.625], [0.500, 0.750, 0.375]]}

=====

Record 3
{"formula": "LaMo3", "functional": "GGA-PBE", "state": "relaxed", "de_polymorph_ev_per_atom": 0.260, "ef_ev_per_atom": 0.6498, "volume_a3_per_cell": 74, "dos_ef_per_ev_cell": 3.7, "space_group": "P4/mmm, No. 123", "lattice_angstrom": [[4.770, 0.000, 0.000], [0.000, 4.770, 0.000], [0.000, 0.000, 3.258]], "species": ["La", "Mo", "Mo", "Mo"], "fractional_positions": [[0.000, 0.000, 0.000], [0.000, 0.500, 0.500], [0.500, 0.000, 0.500], [0.500, 0.500, 0.000]]}

=====

Record 4
{"formula": "La2Mo", "functional": "GGA-PBE", "state": "relaxed", "de_polymorph_ev_per_atom": 0.300, "ef_ev_per_atom": 0.5278, "volume_a3_per_cell": 187, "dos_ef_per_ev_cell": 9.7, "space_group": "Pnnm, No. 58", "lattice_angstrom": [[7.092, 0.000, 0.000], [0.000, 7.166, 0.000], [0.000, 0.000, 3.674]], "species": ["La", "La", "La", "La", "Mo", "Mo"], "fractional_positions": [[0.231, 0.196, 0.000], [0.269, 0.696, 0.500], [0.731, 0.304, 0.500], [0.769, 0.804, 0.000], [0.000, 0.500, 0.000], [0.500, 0.000, 0.500]]}

=====

Record 5
{"formula": "LaMo4", "functional": "GGA-PBE", "state": "relaxed", "de_polymorph_ev_per_atom": 0.000, "ef_ev_per_atom": 0.5675, "volume_a3_per_cell": 188, "dos_ef_per_ev_cell": 11.2, "space_group": "I4/m, No. 87", "lattice_angstrom": [[6.167, 0.000, 0.000], [0.000, 6.167, 0.000], [0.000, 0.000, 4.955]], "species": ["La", "La", "Mo", "Mo", "Mo", "Mo", "Mo", "Mo", "Mo", "Mo"], "fractional_positions": [[0.000, 0.000, 0.000], [0.500, 0.500, 0.500], [0.059, 0.700, 0.500], [0.200, 0.441, 0.000], [0.300, 0.059, 0.500], [0.441, 0.800, 0.000], [0.559, 0.200, 0.000], [0.700, 0.941, 0.500], [0.800, 0.559, 0.000], [0.941, 0.300, 0.500]]}

=====

Record 6
{"formula": "LaMo2", "functional": "GGA-PBE", "state": "relaxed", "de_polymorph_ev_per_atom": 0.570, "ef_ev_per_atom": 0.8684, "volume_a3_per_cell": 120, "dos_ef_per_ev_cell": 3.9, "space_group": "P6_3/mmc, No. 194", "lattice_angstrom": [[5.055, 0.000, 0.000], [-2.528, 4.378, 0.000], [0.000, 0.000, 5.421]], "species": ["La", "La", "Mo", "Mo", "Mo", "Mo"], "fractional_positions": [[0.333, 0.667, 0.250], [0.667, 0.333, 0.750], [0.000, 0.000, 0.000], [0.000, 0.000, 0.500], [0.333, 0.667, 0.750], [0.667, 0.333, 0.250]]}